# 1
! GGA-PBE Al2GaGeMo, relaxed; values from VASP
&SYSTEM
  ibrav = 0, nat = 5, ntyp = 4
/
ATOMIC_SPECIES
Al 26.98 Al.upf
Ga 69.72 Ga.upf
Ge 72.64 Ge.upf
Mo 95.94 Mo.upf
ATOMIC_POSITIONS crystal
Al 0.0000 0.5000 0.0000
Al 0.5000 0.0000 0.0000
Ga 0.0000 0.0000 0.0000
Ge 0.0000 0.0000 0.5000
Mo 0.5000 0.5000 0.5000
CELL_PARAMETERS angstrom
4.7687 0.0000 0.0000
0.0000 4.7687 0.0000
0.0000 0.0000 4.8060
! crystal system = tetragonal
! energy of formation = 1.163 eV per atom
! space group = P4/mmm, No. 123

---

# 2
! GGA-PBE HgOF2, relaxed; values from VASP
&SYSTEM
  ibrav = 0, nat = 12, ntyp = 3
/
ATOMIC_SPECIES
Hg 200.59 Hg.upf
O 16.00 O.upf
F 19.00 F.upf
ATOMIC_POSITIONS crystal
Hg 0.0000 0.0000 0.0000
Hg 0.3333 0.6667 0.6667
Hg 0.6667 0.3333 0.3333
O 0.0000 0.0000 0.5000
O 0.3333 0.6667 0.1667
O 0.6667 0.3333 0.8333
F 0.0000 0.0000 0.0803
F 0.0000 0.0000 0.9197
F 0.3333 0.6667 0.5863
F 0.3333 0.6667 0.7470
F 0.6667 0.3333 0.2530
F 0.6667 0.3333 0.4137
CELL_PARAMETERS angstrom
3.3670 0.0000 0.0000
-1.6835 2.9159 0.0000
0.0000 0.0000 24.4659
! formation energy (no corrections) = 0.03 eV/atom
! crystal system = trigonal
! energy above the most stable polymorph in this dataset = 1051.9 meV/atom
! space group = R-3m, No. 166

---

# 3
! GGA-PBE ScRuSN2, relaxed; values from VASP
&SYSTEM
  ibrav = 0, nat = 5, ntyp = 4
/
ATOMIC_SPECIES
Sc 44.96 Sc.upf
Ru 101.07 Ru.upf
S 32.06 S.upf
N 14.01 N.upf
ATOMIC_POSITIONS crystal
Sc 0.0000 0.0000 0.0000
Ru 0.5000 0.5000 0.5000
S 0.5000 0.5000 0.0000
N 0.0000 0.5000 0.5000
N 0.5000 0.0000 0.5000
CELL_PARAMETERS angstrom
3.8145 0.0000 0.0000
0.0000 3.8145 0.0000
0.0000 0.0000 4.8962
! formation energy (no corrections) = 0.04 eV/atom
! crystal system = tetragonal
! energy above the most stable polymorph in this dataset = 0.0 meV/atom
! space group = P4/mmm, No. 123

---

# 4
! GGA-PBE LiMg2Zn2Ge2, relaxed; values from VASP
&SYSTEM
  ibrav = 0, nat = 7, ntyp = 4
/
ATOMIC_SPECIES
Li 6.94 Li.upf
Mg 24.30 Mg.upf
Zn 65.41 Zn.upf
Ge 72.64 Ge.upf
ATOMIC_POSITIONS crystal
Li 0.0000 0.0000 0.0000
Mg 0.1296 0.1296 0.1296
Mg 0.8704 0.8704 0.8704
Zn 0.3863 0.3863 0.3863
Zn 0.6137 0.6137 0.6137
Ge 0.2562 0.2562 0.2562
Ge 0.7438 0.7438 0.7438
CELL_PARAMETERS angstrom
2.2219 1.2828 7.5678
-2.2219 1.2828 7.5678
0.0000 -2.5657 7.5678
! crystal system = trigonal
! energy of formation = -0.119 eV per atom
! space group = R-3m, No. 166

---

# 5
! GGA-PBE NaCaSBr, relaxed; values from VASP
&SYSTEM
  ibrav = 0, nat = 8, ntyp = 4
/
ATOMIC_SPECIES
Na 22.99 Na.upf
Ca 40.08 Ca.upf
S 32.06 S.upf
Br 79.90 Br.upf
ATOMIC_POSITIONS crystal
Na 0.0000 0.0000 0.0000
Na 0.5000 0.5000 0.0000
Ca 0.3032 0.5000 0.4107
Ca 0.8032 0.0000 0.4107
S 0.4062 0.0000 0.2191
S 0.9062 0.5000 0.2191
Br 0.2259 0.0000 0.6796
Br 0.7259 0.5000 0.6796
CELL_PARAMETERS angstrom
7.1332 0.0000 0.0000
0.0000 4.1189 0.0000
-2.3697 0.0000 7.2235
! formation energy (no corrections) = -1.75 eV/atom
! crystal system = monoclinic
! space group = Cm, No. 8

---

# 6
! GGA-PBE HfV2Pd9, relaxed; values from VASP
&SYSTEM
  ibrav = 0, nat = 12, ntyp = 3
/
ATOMIC_SPECIES
Hf 178.49 Hf.upf
V 50.94 V.upf
Pd 106.42 Pd.upf
ATOMIC_POSITIONS crystal
Hf 0.0000 0.0000 0.0000
V 0.0000 0.0000 0.3381
V 0.0000 0.0000 0.6619
Pd 0.0000 0.5000 0.1716
Pd 0.0000 0.5000 0.5000
Pd 0.0000 0.5000 0.8284
Pd 0.5000 0.0000 0.1716
Pd 0.5000 0.0000 0.5000
Pd 0.5000 0.0000 0.8284
Pd 0.5000 0.5000 0.0000
Pd 0.5000 0.5000 0.3358
Pd 0.5000 0.5000 0.6642
CELL_PARAMETERS angstrom
3.9441 0.0000 0.0000
0.0000 3.9441 0.0000
0.0000 0.0000 11.8168
! crystal system = tetragonal
! energy of formation = -0.439 eV per atom
! space group = P4/mmm, No. 123

---

# 7
! GGA-PBE Nd4CuAg2, relaxed; values from VASP
&SYSTEM
  ibrav = 0, nat = 14, ntyp = 3
/
ATOMIC_SPECIES
Nd 144.24 Nd.upf
Cu 63.55 Cu.upf
Ag 107.87 Ag.upf
ATOMIC_POSITIONS crystal
Nd 0.2458 0.0000 0.0000
Nd 0.2500 0.2500 0.5000
Nd 0.2500 0.7500 0.5000
Nd 0.2542 0.5000 0.0000
Nd 0.7458 0.5000 0.0000
Nd 0.7500 0.2500 0.5000
Nd 0.7500 0.7500 0.5000
Nd 0.7542 0.0000 0.0000
Cu 0.0000 0.0000 0.5000
Cu 0.5000 0.5000 0.5000
Ag 0.0000 0.2524 0.0000
Ag 0.0000 0.7476 0.0000
Ag 0.5000 0.2476 0.0000
Ag 0.5000 0.7524 0.0000
CELL_PARAMETERS angstrom
7.4322 0.0000 0.0000
0.0000 10.3419 0.0000
0.0000 0.0000 5.1796
! crystal system = orthorhombic
! energy of formation = -0.063 eV per atom
! space group = Cmmm, No. 65

---

# 8
! GGA-PBE Cd6Cl7, relaxed; values from VASP
&SYSTEM
  ibrav = 0, nat = 13, ntyp = 2
/
ATOMIC_SPECIES
Cd 112.41 Cd.upf
Cl 35.45 Cl.upf
ATOMIC_POSITIONS crystal
Cd 0.0616 0.0616 0.0616
Cd 0.1801 0.1801 0.1801
Cd 0.3441 0.3441 0.3441
Cd 0.6559 0.6559 0.6559
Cd 0.8199 0.8199 0.8199
Cd 0.9384 0.9384 0.9384
Cl 0.0436 0.5815 0.5815
Cl 0.4185 0.4185 0.9564
Cl 0.4185 0.9564 0.4185
Cl 0.5000 0.5000 0.5000
Cl 0.5815 0.0436 0.5815
Cl 0.5815 0.5815 0.0436
Cl 0.9564 0.4185 0.4185
CELL_PARAMETERS angstrom
3.6507 2.1077 7.8918
-3.6507 2.1077 7.8918
0.0000 -4.2155 7.8918
! formation energy (no corrections) = -0.56 eV/atom
! crystal system = trigonal
! space group = R-3m, No. 166

---

# 9
! GGA-PBE ErCd2Cu2, relaxed; values from VASP
&SYSTEM
  ibrav = 0, nat = 10, ntyp = 3
/
ATOMIC_SPECIES
Er 167.26 Er.upf
Cd 112.41 Cd.upf
Cu 63.55 Cu.upf
ATOMIC_POSITIONS crystal
Er 0.0000 0.0000 0.0000
Er 0.5000 0.5000 0.0000
Cd 0.1417 0.5000 0.5674
Cd 0.3583 0.0000 0.4326
Cd 0.6417 0.0000 0.5674
Cd 0.8583 0.5000 0.4326
Cu 0.2148 0.5000 0.1116
Cu 0.2852 0.0000 0.8884
Cu 0.7148 0.0000 0.1116
Cu 0.7852 0.5000 0.8884
CELL_PARAMETERS angstrom
10.3027 0.0000 0.0000
0.0000 3.8204 0.0000
-1.2003 0.0000 5.0971
! crystal system = monoclinic
! energy of formation = -0.156 eV per atom
! space group = C2/m, No. 12

---

# 10
! GGA-PBE PAuC2, relaxed; values from VASP
&SYSTEM
  ibrav = 0, nat = 4, ntyp = 3
/
ATOMIC_SPECIES
P 30.97 P.upf
Au 196.97 Au.upf
C 12.01 C.upf
ATOMIC_POSITIONS crystal
P 0.0000 0.0000 0.0000
Au 0.1187 0.2078 0.4384
C 0.1911 0.3661 0.8283
C 0.3614 0.7248 0.9152
CELL_PARAMETERS angstrom
2.8385 0.0000 0.0000
-1.3373 3.8380 0.0000
-0.2946 -0.8248 5.3406
! crystal system = triclinic
! energy of formation = 0.705 eV per atom
! space group = P1, No. 1

---

# 11
! GGA-PBE Ce2TeN2, relaxed; values from VASP
&SYSTEM
  ibrav = 0, nat = 10, ntyp = 3
/
ATOMIC_SPECIES
Ce 140.12 Ce.upf
Te 127.60 Te.upf
N 14.01 N.upf
ATOMIC_POSITIONS crystal
Ce 0.0000 0.0000 0.1635
Ce 0.0000 0.0000 0.8365
Ce 0.5000 0.5000 0.3365
Ce 0.5000 0.5000 0.6635
Te 0.0000 0.0000 0.5000
Te 0.5000 0.5000 0.0000
N 0.0000 0.5000 0.2500
N 0.0000 0.5000 0.7500
N 0.5000 0.0000 0.2500
N 0.5000 0.0000 0.7500
CELL_PARAMETERS angstrom
4.0065 0.0000 0.0000
0.0000 4.0065 0.0000
0.0000 0.0000 12.8062
! formation energy (no corrections) = -1.58 eV/atom
! crystal system = tetragonal
! space group = I4/mmm, No. 139

---

# 12
! GGA-PBE YCd2Pt, relaxed; values from VASP
&SYSTEM
  ibrav = 0, nat = 4, ntyp = 3
/
ATOMIC_SPECIES
Y 88.91 Y.upf
Cd 112.41 Cd.upf
Pt 195.08 Pt.upf
ATOMIC_POSITIONS crystal
Y 0.0000 0.0000 0.0000
Cd 0.0000 0.5000 0.5000
Cd 0.5000 0.0000 0.5000
Pt 0.5000 0.5000 0.0000
CELL_PARAMETERS angstrom
4.1622 0.0000 0.0000
0.0000 4.1622 0.0000
0.0000 0.0000 4.9973
! crystal system = tetragonal
! energy of formation = -0.510 eV per atom
! space group = P4/mmm, No. 123